[1]
AcCeEuY: optimized geometry, PBE.

Computed properties:
- Density of states at the Fermi level: 12.7 states/eV/cell
- Formation energy: 0.244 eV per atom
- Crystal system: cubic

Structure (POSCAR):
```
AcCeEuY
1.0
0.000 4.222 4.222
4.222 0.000 4.222
4.222 4.222 0.000
Ac Ce Eu Y
1 1 1 1
direct
0.000 0.000 0.000
0.750 0.750 0.750
0.250 0.250 0.250
0.500 0.500 0.500
```

***

[2]
AcCeF6: optimized geometry, PBE.

Computed properties:
- Density of states at the Fermi level: 6.4 states/eV/cell
- Uncorrected formation energy: -4.010 eV per atom
- Crystal system: orthorhombic

Structure (POSCAR):
```
AcCeF6
1.0
4.101 0.000 0.000
0.000 3.676 3.980
0.000 -3.676 3.980
Ac Ce F
1 1 6
direct
0.000 0.000 0.000
0.500 0.479 0.479
0.000 0.332 0.332
0.000 0.436 0.791
0.000 0.791 0.436
0.500 0.078 0.699
0.500 0.172 0.172
0.500 0.699 0.078
```

***

[3]
Ac2CeF11: optimized geometry, PBE.

Computed properties:
- Uncorrected formation energy: -3.670 eV per atom
- Crystal system: orthorhombic

Structure (POSCAR):
```
Ac2CeF11
1.0
-4.547 5.415 5.806
4.547 -5.415 5.806
4.547 5.415 -5.806
Ac Ce F
4 2 22
direct
0.192 0.172 0.364
0.308 0.672 0.980
0.692 0.328 0.020
0.808 0.828 0.636
0.250 0.750 0.500
0.750 0.250 0.500
0.000 0.000 0.000
0.017 0.443 0.752
0.069 0.831 0.619
0.179 0.895 0.074
0.191 0.943 0.426
0.212 0.449 0.381
0.288 0.669 0.237
0.309 0.735 0.752
0.321 0.395 0.716
0.431 0.051 0.763
0.483 0.235 0.426
0.500 0.500 0.000
0.517 0.765 0.574
0.569 0.949 0.237
0.679 0.605 0.284
0.691 0.265 0.248
0.712 0.331 0.763
0.788 0.551 0.619
0.809 0.057 0.574
0.821 0.105 0.926
0.931 0.169 0.381
0.983 0.557 0.248
```

***

[4]
AcCeF: optimized geometry, PBE.

Computed properties:
- Density of states at the Fermi level: 12.0 states/eV/cell
- Uncorrected formation energy: -1.505 eV per atom
- Crystal system: orthorhombic

Structure (POSCAR):
```
AcCeF
1.0
2.000 -7.278 0.000
2.000 7.278 0.000
0.000 0.000 5.420
Ac Ce F
2 2 2
direct
0.172 0.828 0.750
0.828 0.172 0.250
0.451 0.549 0.750
0.549 0.451 0.250
0.160 0.840 0.250
0.840 0.160 0.750
```

***

[5]
AcCe2F11: optimized geometry, PBE.

Computed properties:
- Density of states at the Fermi level: 0.0 states/eV/cell
- Uncorrected formation energy: -3.876 eV per atom
- Crystal system: orthorhombic

Structure (POSCAR):
```
AcCe2F11
1.0
-4.231 5.365 5.897
4.231 -5.365 5.897
4.231 5.365 -5.897
Ac Ce F
2 4 22
direct
0.250 0.250 0.000
0.750 0.750 0.000
0.182 0.642 0.823
0.318 0.142 0.460
0.682 0.858 0.540
0.818 0.358 0.177
0.000 0.500 0.500
0.047 0.961 0.280
0.055 0.360 0.154
0.181 0.461 0.915
0.206 0.901 0.846
0.217 0.372 0.589
0.283 0.872 0.154
0.294 0.140 0.695
0.319 0.234 0.280
0.445 0.599 0.305
0.453 0.734 0.915
0.500 0.000 0.500
0.547 0.266 0.085
0.555 0.401 0.695
0.681 0.766 0.720
0.706 0.860 0.305
0.717 0.128 0.846
0.783 0.628 0.411
0.794 0.099 0.154
0.819 0.539 0.085
0.945 0.640 0.846
0.953 0.039 0.720
```

***

[6]
AcCeF2: optimized geometry, PBE.

Computed properties:
- Density of states at the Fermi level: 8.6 states/eV/cell
- Uncorrected formation energy: -2.557 eV per atom
- Crystal system: trigonal

Structure (POSCAR):
```
AcCeF2
1.0
2.067 1.193 6.669
-2.067 1.193 6.669
0.000 -2.387 6.669
Ac Ce F
1 1 2
direct
0.000 0.000 0.000
0.500 0.500 0.500
0.133 0.133 0.133
0.867 0.867 0.867
```

***

[7]
AcCeGeF: optimized geometry, PBE.

Computed properties:
- Density of states at the Fermi level: 5.1 states/eV/cell
- Uncorrected formation energy: -1.794 eV per atom
- Crystal system: tetragonal

Structure (POSCAR):
```
AcCeGeF
1.0
4.306 0.000 0.000
0.000 4.306 0.000
0.000 0.000 10.317
Ac Ce Ge F
2 2 2 2
direct
0.250 0.250 0.156
0.750 0.750 0.844
0.250 0.750 0.500
0.750 0.250 0.500
0.250 0.250 0.710
0.750 0.750 0.290
0.250 0.750 0.000
0.750 0.250 0.000
```

***

[8]
Li3Ac2CeF12: optimized geometry, PBE.

Computed properties:
- Density of states at the Fermi level: 6.8 states/eV/cell
- Uncorrected formation energy: -3.593 eV per atom
- Crystal system: trigonal

Structure (POSCAR):
```
Li3Ac2CeF12
1.0
3.451 1.993 5.872
-3.451 1.993 5.872
0.000 -3.985 5.872
Li Ac Ce F
3 2 1 12
direct
0.000 0.500 0.500
0.500 0.000 0.500
0.500 0.500 0.000
0.106 0.106 0.106
0.894 0.894 0.894
0.500 0.500 0.500
0.067 0.659 0.659
0.232 0.232 0.663
0.232 0.663 0.232
0.337 0.768 0.768
0.341 0.341 0.933
0.341 0.933 0.341
0.659 0.067 0.659
0.659 0.659 0.067
0.663 0.232 0.232
0.768 0.337 0.768
0.768 0.768 0.337
0.933 0.341 0.341
```

***

[9]
Ac2CeO3F3: optimized geometry, PBE.

Computed properties:
- Density of states at the Fermi level: 5.9 states/eV/cell
- Uncorrected formation energy: -3.594 eV per atom
- Crystal system: hexagonal

Structure (POSCAR):
```
Ac2CeO3F3
1.0
6.523 0.000 0.000
-3.262 5.649 0.000
0.000 0.000 3.774
Ac Ce O F
2 1 3 3
direct
0.333 0.667 0.000
0.667 0.333 0.000
0.000 0.000 0.500
0.000 0.739 0.000
0.261 0.261 0.000
0.739 0.000 0.000
0.000 0.405 0.500
0.405 0.000 0.500
0.595 0.595 0.500
```

***

[10]
AcCeFe4: optimized geometry, PBE.

Computed properties:
- Density of states at the Fermi level: 7.6 states/eV/cell
- Formation energy: 0.120 eV per atom
- Crystal system: cubic

Structure (POSCAR):
```
AcCeFe4
1.0
0.000 3.732 3.732
3.732 0.000 3.732
3.732 3.732 0.000
Ac Ce Fe
1 1 4
direct
0.000 0.000 0.000
0.750 0.750 0.750
0.376 0.376 0.376
0.376 0.376 0.871
0.376 0.871 0.376
0.871 0.376 0.376
```

***

[11]
AcCe2FeN4: optimized geometry, PBE.

Computed properties:
- Density of states at the Fermi level: 8.3 states/eV/cell
- Uncorrected formation energy: -1.115 eV per atom
- Crystal system: orthorhombic

Structure (POSCAR):
```
AcCe2FeN4
1.0
1.797 -5.938 0.000
1.797 5.938 0.000
0.000 0.000 11.762
Ac Ce Fe N
2 4 2 8
direct
0.096 0.904 0.750
0.904 0.096 0.250
0.367 0.633 0.554
0.367 0.633 0.946
0.633 0.367 0.054
0.633 0.367 0.446
0.168 0.832 0.250
0.832 0.168 0.750
0.000 0.000 0.000
0.000 0.000 0.500
0.262 0.738 0.117
0.262 0.738 0.383
0.431 0.569 0.750
0.569 0.431 0.250
0.738 0.262 0.617
0.738 0.262 0.883
```

***

[12]
Ac2CeFe2N6: optimized geometry, PBE.

Computed properties:
- Density of states at the Fermi level: 2.0 states/eV/cell
- Uncorrected formation energy: -0.676 eV per atom
- Crystal system: trigonal

Structure (POSCAR):
```
Ac2CeFe2N6
1.0
2.885 1.665 6.094
-2.885 1.665 6.094
0.000 -3.331 6.094
Ac Ce Fe N
2 1 2 6
direct
0.214 0.214 0.214
0.786 0.786 0.786
0.000 0.000 0.000
0.409 0.409 0.409
0.591 0.591 0.591
0.240 0.743 0.743
0.257 0.257 0.760
0.257 0.760 0.257
0.743 0.240 0.743
0.743 0.743 0.240
0.760 0.257 0.257
```

***

[13]
AcCe2Fe2N6: optimized geometry, PBE.

Computed properties:
- Density of states at the Fermi level: 7.3 states/eV/cell
- Uncorrected formation energy: -0.529 eV per atom
- Crystal system: trigonal

Structure (POSCAR):
```
AcCe2Fe2N6
1.0
2.793 1.613 6.589
-2.793 1.613 6.589
0.000 -3.225 6.589
Ac Ce Fe N
1 2 2 6
direct
0.000 0.000 0.000
0.197 0.197 0.197
0.803 0.803 0.803
0.418 0.418 0.418
0.582 0.582 0.582
0.221 0.733 0.733
0.267 0.267 0.779
0.267 0.779 0.267
0.733 0.221 0.733
0.733 0.733 0.221
0.779 0.267 0.267
```

***

Number 1: size of the total moment 9.39 Bohr magnetons per cell, theoretical density 6.71 Mg/m³, calculated total energy -0.2371 hartree per atom. Number 2: size of the total moment 1.00 Bohr magnetons per cell, theoretical density 6.66 Mg/m³, calculated total energy -0.2451 hartree per atom. Number 3: size of the total moment 2.18 Bohr magnetons per cell, theoretical density 4.66 Mg/m³, calculated total energy -0.2260 hartree per atom. Number 4: size of the total moment 1.26 Bohr magnetons per cell, theoretical density 8.12 Mg/m³, calculated total energy -0.2012 hartree per atom. Number 5: size of the total moment 0.13 Bohr magnetons per cell, theoretical density 4.44 Mg/m³, calculated total energy -0.2384 hartree per atom. Number 6: size of the total moment 1.37 Bohr magnetons per cell, theoretical density 6.82 Mg/m³, calculated total energy -0.2206 hartree per atom. Number 7: size of the total moment 0.00 Bohr magnetons per cell, theoretical density 7.97 Mg/m³, calculated total energy -0.2178 hartree per atom. Number 8: size of the total moment 1.00 Bohr magnetons per cell, theoretical density 5.78 Mg/m³, calculated total energy -0.2185 hartree per atom. Number 9: size of the total moment 0.87 Bohr magnetons per cell, theoretical density 8.35 Mg/m³, calculated total energy -0.2735 hartree per atom. Number 10: size of the total moment 6.87 Bohr magnetons per cell, theoretical density 9.43 Mg/m³, calculated total energy -0.2644 hartree per atom. Number 11: size of the total moment 6.00 Bohr magnetons per cell, theoretical density 8.19 Mg/m³, calculated total energy -0.3062 hartree per atom. Number 12: size of the total moment 4.00 Bohr magnetons per cell, theoretical density 7.47 Mg/m³, calculated total energy -0.2956 hartree per atom. Number 13: size of the total moment 5.07 Bohr magnetons per cell, theoretical density 6.55 Mg/m³, calculated total energy -0.2962 hartree per atom.